DFT (GGA-PBE) results for crystalline PmAlF6 at its relaxed geometry.

Unit cell a=4.544 b=4.544 c=4.539 alpha=98.12 beta=98.12 gamma=98.73
Fractional coordinates of all 8 atoms:
F (0.432, 0.789, 0.788)
F (0.788, 0.788, 0.426)
F (0.789, 0.432, 0.788)
F (0.212, 0.212, 0.574)
F (0.211, 0.568, 0.212)
F (0.568, 0.211, 0.212)
Al (0.500, 0.500, 0.500)
Pm (0.000, 0.000, 0.000)

* V: 11.30 A^3/atom
* ρ: 5.25 g/cm3
* formation energy from raw total energies: -3.728 eV/atom
* energy: -49.5 eV for the cell shown